No. 1
A geometry-optimized Cs3HAu2 structure. Source: Alexandria via LeMat-Bulk, functional PBE-GGA.

Results
- Uncorrected energy: -2.326 eV per atom

```
data_Cs3HAu2
_cell_length_a 8.8002
_cell_length_b 15.1133
_cell_length_c 8.5547
_cell_angle_alpha 90.00
_cell_angle_beta 108.99
_cell_angle_gamma 90.00
_space_group_name_H-M_alt 'C 1 2/c 1'
_space_group_IT_number 15
loop_
_space_group_symop_operation_xyz
'x,y,z'
'-x,-y,-z'
'-x,y,-z+1/2'
'x,-y,z+1/2'
'x+1/2,y+1/2,z'
'-x+1/2,-y+1/2,-z'
'-x+1/2,y+1/2,-z+1/2'
'x+1/2,-y+1/2,z+1/2'
loop_
_atom_site_label
_atom_site_fract_x
_atom_site_fract_y
_atom_site_fract_z
Cs1 0.2192 0.0744 0.0055
Cs2 0.2500 0.2500 0.5000
H1 0.0000 0.0767 0.2500
Au1 0.0000 0.2553 0.7500
Au2 0.0000 0.4170 0.2500
```

No. 2
A geometry-optimized Cs12HAu6 structure. Source: Alexandria via LeMat-Bulk, functional PBE-GGA.

Results
- Uncorrected energy: -1.957 eV per atom

```
data_Cs12HAu6
_cell_length_a 15.6793
_cell_length_b 15.6793
_cell_length_c 14.7459
_cell_angle_alpha 90.00
_cell_angle_beta 90.00
_cell_angle_gamma 120.00
_space_group_name_H-M_alt 'R -3'
_space_group_IT_number 148
_space_group_name_Hall '-R 3'
loop_
_atom_site_label
_atom_site_fract_x
_atom_site_fract_y
_atom_site_fract_z
Cs1 0.0331 0.2179 0.3974
Cs2 0.0492 0.1932 0.8843
H1 0.0000 0.0000 0.0000
Au1 0.0518 0.4433 0.3155
```

No. 3
A geometry-optimized Cs3H6Au2 structure. Source: Alexandria via LeMat-Bulk, functional PBE-GGA.

Results
- Uncorrected energy: -2.739 eV per atom

```
data_Cs3H6Au2
_cell_length_a 6.6381
_cell_length_b 7.0296
_cell_length_c 12.1711
_cell_angle_alpha 90.00
_cell_angle_beta 100.63
_cell_angle_gamma 90.00
_space_group_name_H-M_alt 'C 1 2/m 1'
_space_group_IT_number 12
loop_
_space_group_symop_operation_xyz
'x,y,z'
'-x,-y,-z'
'-x,y,-z'
'x,-y,z'
'x+1/2,y+1/2,z'
'-x+1/2,-y+1/2,-z'
'-x+1/2,y+1/2,-z'
'x+1/2,-y+1/2,z'
loop_
_atom_site_label
_atom_site_fract_x
_atom_site_fract_y
_atom_site_fract_z
Cs1 0.0000 0.0000 0.0000
Cs2 0.2017 0.0000 0.3558
H1 0.1752 0.5000 0.3900
H2 0.2058 0.3285 0.1546
Au1 0.1854 0.5000 0.2511
```

No. 4
A geometry-optimized Cs6HAu2 structure. Source: Alexandria via LeMat-Bulk, functional PBE-GGA.

Results
- Offset from the most stable computed form: 6.4 meV/atom
- Uncorrected energy: -1.824 eV per atom

```
data_Cs6HAu2
_cell_length_a 17.9047
_cell_length_b 4.8986
_cell_length_c 14.6034
_cell_angle_alpha 90.00
_cell_angle_beta 116.25
_cell_angle_gamma 90.00
_space_group_name_H-M_alt 'C 1 2/m 1'
_space_group_IT_number 12
loop_
_space_group_symop_operation_xyz
'x,y,z'
'-x,-y,-z'
'-x,y,-z'
'x,-y,z'
'x+1/2,y+1/2,z'
'-x+1/2,-y+1/2,-z'
'-x+1/2,y+1/2,-z'
'x+1/2,-y+1/2,z'
loop_
_atom_site_label
_atom_site_fract_x
_atom_site_fract_y
_atom_site_fract_z
Cs1 0.0014 0.0000 0.2101
Cs2 0.1582 0.5000 0.5490
Cs3 0.1833 0.0000 0.1148
H1 0.0000 0.0000 0.0000
Au1 0.1761 0.5000 0.3062
```

No. 5
A geometry-optimized CsH2Au structure. Source: Alexandria via LeMat-Bulk, functional PBE-GGA.

Results
- Offset from the most stable computed form: 32.8 meV/atom
- Uncorrected energy: -2.949 eV per atom

```
data_CsH2Au
_cell_length_a 7.9687
_cell_length_b 11.2785
_cell_length_c 4.9433
_cell_angle_alpha 90.00
_cell_angle_beta 126.44
_cell_angle_gamma 90.00
_space_group_name_H-M_alt 'C 1 2/c 1'
_space_group_IT_number 15
loop_
_space_group_symop_operation_xyz
'x,y,z'
'-x,-y,-z'
'-x,y,-z+1/2'
'x,-y,z+1/2'
'x+1/2,y+1/2,z'
'-x+1/2,-y+1/2,-z'
'-x+1/2,y+1/2,-z+1/2'
'x+1/2,-y+1/2,z+1/2'
loop_
_atom_site_label
_atom_site_fract_x
_atom_site_fract_y
_atom_site_fract_z
Cs1 0.0000 0.1494 0.2500
H1 0.2416 0.0911 0.9790
Au1 0.0000 0.4140 0.7500
```

No. 6
A geometry-optimized Cs5H2Au2 structure. Source: Alexandria via LeMat-Bulk, functional PBE-GGA.

Results
- Uncorrected energy: -2.129 eV per atom

```
data_Cs5H2Au2
_cell_length_a 16.4716
_cell_length_b 6.0441
_cell_length_c 9.4722
_cell_angle_alpha 90.00
_cell_angle_beta 121.68
_cell_angle_gamma 90.00
_space_group_name_H-M_alt 'C 1 2/m 1'
_space_group_IT_number 12
loop_
_space_group_symop_operation_xyz
'x,y,z'
'-x,-y,-z'
'-x,y,-z'
'x,-y,z'
'x+1/2,y+1/2,z'
'-x+1/2,-y+1/2,-z'
'-x+1/2,y+1/2,-z'
'x+1/2,-y+1/2,z'
loop_
_atom_site_label
_atom_site_fract_x
_atom_site_fract_y
_atom_site_fract_z
Cs1 0.0000 0.0000 0.0000
Cs2 0.1358 0.0000 0.5151
Cs3 0.1468 0.5000 0.8993
H1 0.1230 0.0000 0.8254
Au1 0.1091 0.5000 0.2638
```

No. 7
A geometry-optimized Cs7HAu4 structure. Source: Alexandria via LeMat-Bulk, functional PBE-GGA.

Results
- Offset from the most stable computed form: 4.1 meV/atom
- Uncorrected energy: -2.096 eV per atom

```
data_Cs7HAu4
_cell_length_a 18.8324
_cell_length_b 6.1184
_cell_length_c 13.2853
_cell_angle_alpha 90.00
_cell_angle_beta 129.80
_cell_angle_gamma 90.00
_space_group_name_H-M_alt 'C 1 2/m 1'
_space_group_IT_number 12
loop_
_space_group_symop_operation_xyz
'x,y,z'
'-x,-y,-z'
'-x,y,-z'
'x,-y,z'
'x+1/2,y+1/2,z'
'-x+1/2,-y+1/2,-z'
'-x+1/2,y+1/2,-z'
'x+1/2,-y+1/2,z'
loop_
_atom_site_label
_atom_site_fract_x
_atom_site_fract_y
_atom_site_fract_z
Cs1 0.0000 0.0000 0.0000
Cs2 0.0684 0.5000 0.2689
Cs3 0.1371 0.0000 0.5484
Cs4 0.2119 0.5000 0.8481
H1 0.0000 0.5000 0.0000
Au1 0.0843 0.0000 0.7971
Au2 0.2201 0.0000 0.3565
```

No. 8
A geometry-optimized CsH2Au structure. Source: Alexandria via LeMat-Bulk, functional PBE-GGA.

Results
- Offset from the most stable computed form: 127.5 meV/atom
- Uncorrected energy: -2.854 eV per atom

```
data_CsH2Au
_cell_length_a 6.0082
_cell_length_b 6.0082
_cell_length_c 8.6082
_cell_angle_alpha 90.00
_cell_angle_beta 90.00
_cell_angle_gamma 90.00
_space_group_name_H-M_alt 'I -4 2 d'
_space_group_IT_number 122
_space_group_name_Hall 'I -4 2bw'
loop_
_atom_site_label
_atom_site_fract_x
_atom_site_fract_y
_atom_site_fract_z
Cs1 0.0000 0.0000 0.0000
H1 0.0030 0.2500 0.6250
Au1 0.0000 0.0000 0.5000
```